<w>
# Al2CuRh, relaxed, DFT PBEsol
data_Al2CuRh
_chemical_formula_sum 'Al8 Cu4 Rh4'
_symmetry_space_group_name_H-M 'F m -3 m'
_symmetry_Int_Tables_number 225
_symmetry_space_group_name_Hall '-F 4 2 3'
_cell_length_a 5.935
_cell_length_b 5.935
_cell_length_c 5.935
_cell_angle_alpha 90.00
_cell_angle_beta 90.00
_cell_angle_gamma 90.00
loop_
_atom_site_label
_atom_site_type_symbol
_atom_site_fract_x
_atom_site_fract_y
_atom_site_fract_z
Al1 Al 0.250 0.250 0.250
Cu1 Cu 0.000 0.000 0.000
Rh1 Rh 0.000 0.000 0.500
# D(E_F): 5.29 states/eV per cell
# Crystal system: cubic
# Mass density: 7.0 g/cm3

***

<x>
# Al2CuRh, relaxed, DFT PBEsol
data_Al2CuRh
_chemical_formula_sum 'Al4 Cu2 Rh2'
_symmetry_space_group_name_H-M 'I m m 2'
_symmetry_Int_Tables_number 44
_symmetry_space_group_name_Hall 'I 2 -2'
_cell_length_a 3.582
_cell_length_b 3.619
_cell_length_c 8.113
_cell_angle_alpha 90.00
_cell_angle_beta 90.00
_cell_angle_gamma 90.00
loop_
_atom_site_label
_atom_site_type_symbol
_atom_site_fract_x
_atom_site_fract_y
_atom_site_fract_z
Al1 Al 0.000 0.000 0.000
Al2 Al 0.000 0.500 0.249
Cu1 Cu 0.000 0.500 0.749
Rh1 Rh 0.000 0.000 0.499
# D(E_F): 1.94 states/eV per cell
# Crystal system: orthorhombic
# Mass density: 7.0 g/cm3

***

Most stable: <w>